w.
This record from the Alexandria database describes crystalline CoRuCl3 at its relaxed geometry. The functional is GGA-PBE.

a = 8.710 Å, b = 6.154 Å, c = 12.860 Å
α = 90.00°, β = 128.92°, γ = 90.00°
Space group P2_1/c (No. 14)
Inequivalent atoms, fractional coordinates:
Co1 0.182 0.096 0.071 x4
Ru1 0.492 0.070 0.129 x4
Cl1 0.077 0.635 0.648 x4
Cl2 0.380 0.091 0.662 x4
Cl3 0.419 0.230 0.934 x4

x.
This record from the Alexandria database describes crystalline CoRuCl3 at its relaxed geometry. The functional is GGA-PBE.

a = 3.682 Å, b = 14.365 Å, c = 8.248 Å
α = 90.00°, β = 90.00°, γ = 90.00°
Space group Cmcm (No. 63)
Inequivalent atoms, fractional coordinates:
Co1 0.000 0.171 0.250 x4
Ru1 0.000 0.331 0.250 x4
Cl1 0.000 0.153 0.567 x8
Cl2 0.000 0.424 0.750 x4

Of them, x has the highest stability.

w.
This record from the Alexandria database describes crystalline BC2 at its relaxed geometry. The functional is GGA-PBE.

a = 4.451 Å, b = 2.586 Å, c = 6.611 Å
α = 90.00°, β = 90.63°, γ = 90.00°
Space group Pm (No. 6)
Inequivalent atoms, fractional coordinates:
B1 0.000 0.000 0.000 x1
B2 0.164 0.500 0.311 x1
B3 0.369 0.000 0.449 x1
B4 0.781 0.500 0.435 x1
C1 0.002 0.000 0.747 x1
C2 0.183 0.500 0.080 x1
C3 0.341 0.000 0.691 x1
C4 0.504 0.500 0.009 x1
C5 0.504 0.500 0.772 x1
C6 0.666 0.000 0.090 x1
C7 0.696 0.000 0.317 x1
C8 0.832 0.500 0.682 x1

x.
This record from the Alexandria database describes crystalline BC2 at its relaxed geometry. The functional is GGA-PBE.

a = 8.732 Å, b = 2.553 Å, c = 7.630 Å
α = 90.00°, β = 115.42°, γ = 90.00°
Space group C2/m (No. 12)
Inequivalent atoms, fractional coordinates:
B1 0.077 0.000 0.234 x4
B2 0.248 0.000 0.911 x4
C1 0.073 0.500 0.095 x4
C2 0.085 0.000 0.712 x4
C3 0.088 0.500 0.602 x4
C4 0.244 0.500 0.552 x4

Of them, x has the highest stability.